9
Lattice="5.430 0.000 0.000 2.715 4.702 0.000 0.000 0.000 6.008" Properties=species:S:1:pos:R:3 comment="KSnTeO6, optimized geometry, DFT PBE" magnetic_moment_mub_per_cell=1.1 formation_energy_uncorrected_ev_per_atom=-1.22 pbc="T T T"
K 5.430 0.000 6.008
Sn 5.430 3.135 3.004
Te 2.715 1.567 3.004
O 1.115 1.745 1.888
O 2.069 0.093 4.120
O 4.314 1.745 4.120
O 1.762 2.864 4.120
O 3.668 2.864 1.888
O 3.361 0.093 1.888

***

10
Lattice="-2.927 -3.364 -4.255 0.651 -5.019 3.521 -4.946 -3.325 1.567" Properties=species:S:1:pos:R:3 comment="K2ThSnO6, optimized geometry, DFT PBE" magnetic_moment_mub_per_cell=2.1 formation_energy_uncorrected_ev_per_atom=-1.98 pbc="T T T"
K -2.716 -6.269 2.361
K -4.505 -5.440 -1.528
Th -1.138 -4.192 -0.367
Sn 0.000 0.000 0.000
O -0.204 -4.623 1.662
O -6.677 -9.705 1.008
O -3.125 -3.740 0.643
O -7.017 -7.085 -0.829
O -0.544 -2.004 -0.175
O -4.096 -7.969 0.190

***

20
Lattice="7.414 0.000 0.000 -2.471 6.990 0.000 -2.471 -3.495 6.054" Properties=species:S:1:pos:R:3 comment="K4ThSn3O12, optimized geometry, DFT PBE" magnetic_moment_mub_per_cell=4.1 formation_energy_uncorrected_ev_per_atom=-1.64 pbc="T T T"
K 1.236 1.748 3.027
K -1.236 -1.748 3.027
K 3.707 0.000 0.000
K -1.236 3.495 0.000
Th 0.000 0.000 0.000
Sn 2.471 -1.748 3.027
Sn 2.471 3.495 0.000
Sn -2.471 1.748 3.027
O -1.236 0.874 4.540
O 3.631 -2.568 4.448
O 1.311 -0.927 1.606
O 3.707 2.621 1.513
O 3.631 5.136 0.000
O 1.311 1.855 0.000
O 3.707 0.000 3.027
O -1.236 3.495 3.027
O 1.236 -0.874 4.540
O -3.631 2.568 4.448
O 1.236 4.369 1.513
O -1.311 0.927 1.606

***

15
Lattice="-2.915 5.165 1.282 -1.013 -4.964 3.339 5.526 1.975 4.612" Properties=species:S:1:pos:R:3 comment="K3ThSn2O9, optimized geometry, DFT PBE" magnetic_moment_mub_per_cell=3.1 formation_energy_uncorrected_ev_per_atom=-1.75 pbc="T T T"
K 2.083 -0.255 5.766
K 0.000 0.000 0.000
K -0.485 2.430 3.466
Th 2.763 0.987 2.306
Sn -0.782 -1.279 3.375
Sn 2.380 3.454 5.857
O 1.177 4.744 4.778
O 0.693 2.374 6.372
O 2.568 2.279 4.167
O -0.970 -0.103 5.066
O 0.905 -0.199 2.860
O 0.421 -2.569 4.454
O -1.458 2.582 0.641
O -0.506 -2.482 1.669
O -1.964 0.100 2.310

***

16
Lattice="-3.746 -3.346 3.227 -0.905 -3.738 -4.926 6.111 -4.576 2.350" Properties=species:S:1:pos:R:3 comment="K2TiSnO4, optimized geometry, DFT PBE" magnetic_moment_mub_per_cell=0.0 formation_energy_uncorrected_ev_per_atom=-2.12 pbc="T T T"
K -0.661 -3.744 0.874
K 2.549 -6.147 2.109
K 0.093 -9.473 1.332
K -2.808 -7.301 0.216
Ti 0.413 -7.142 -1.403
Ti -3.881 -3.903 2.493
Sn -0.927 -6.613 3.112
Sn -2.540 -4.431 -2.022
O -1.822 -4.476 -3.976
O 0.214 -4.907 3.464
O 2.096 -3.229 1.836
O -3.685 -6.136 -2.366
O 1.728 -7.448 -0.198
O -2.843 -5.354 2.190
O 0.918 -8.170 3.636
O -0.623 -5.688 -1.102

***

14
Lattice="5.994 0.000 -0.244 0.000 6.013 0.000 -2.484 0.000 7.767" Properties=species:S:1:pos:R:3 comment="KTlSnO4, optimized geometry, DFT PBE" magnetic_moment_mub_per_cell=0.0 formation_energy_uncorrected_ev_per_atom=-1.17 pbc="T T T"
K 0.168 4.510 6.500
K 3.342 1.503 1.022
Tl 3.686 4.510 3.368
Tl -0.176 1.503 4.154
Sn 0.697 4.510 2.496
Sn 2.813 1.503 5.027
O 4.252 2.916 4.992
O -0.742 5.922 2.531
O -0.742 3.097 2.531
O 4.252 0.091 4.992
O 2.311 4.510 1.378
O 1.199 1.503 6.145
O 1.630 4.510 4.260
O 1.879 1.503 3.263

***

8
Lattice="6.097 0.511 -0.004 0.511 6.295 -0.004 -3.302 -3.401 3.942" Properties=species:S:1:pos:R:3 comment="K2TmSnO4, optimized geometry, DFT PBE" magnetic_moment_mub_per_cell=0.7 formation_energy_uncorrected_ev_per_atom=-2.03 pbc="T T T"
K 3.048 0.255 0.140
K 0.001 0.001 2.119
Tm 3.050 0.257 3.873
Sn 3.305 3.404 2.063
O 2.154 1.622 2.526
O 4.702 2.593 0.799
O 1.906 4.212 0.799
O 3.946 -1.109 2.526

***

20
Lattice="7.569 0.000 0.000 -2.523 7.136 0.000 -2.523 -3.568 6.180" Properties=species:S:1:pos:R:3 comment="K4U3SnO12, optimized geometry, DFT PBE" magnetic_moment_mub_per_cell=0.0 formation_energy_uncorrected_ev_per_atom=-2.63 pbc="T T T"
K 1.261 1.784 3.090
K -1.261 -1.784 3.090
K 3.784 0.000 0.000
K -1.261 3.568 0.000
U 2.523 -1.784 3.090
U 2.523 3.568 0.000
U -2.523 1.784 3.090
Sn 0.000 0.000 0.000
O -1.261 0.892 4.635
O 3.656 -2.585 4.478
O 1.390 -0.983 1.702
O 3.784 2.676 1.545
O 3.656 5.171 0.000
O 1.390 1.965 0.000
O 3.784 0.000 3.090
O -1.261 3.568 3.090
O 1.261 -0.892 4.635
O -3.656 2.585 4.478
O 1.261 4.460 1.545
O -1.390 0.983 1.702